Entry 1:
DFT (PBE-GGA) results for an optimized crystal structure of Ho3ScC.

Results
density of states at the Fermi level = 1.396 states/eV per atom
E_form = -0.038 eV/atom
calculated density = 7.47 g/cm3

Unit cell a=4.9678 b=4.9678 c=4.9678 alpha=90.00 beta=90.00 gamma=90.00
Space group Pm-3m (No. 221)
Asymmetric unit:
Ho  0.0000  0.0000  0.5000 x3
Sc  0.5000  0.5000  0.5000 x1
C  0.0000  0.0000  0.0000 x1



Entry 2:
DFT (PBE-GGA) results for an optimized crystal structure of HoScC.

Results
offset from the most stable computed form = 0.190 eV per atom
density of states at the Fermi level = 0.567 states/eV per atom
E_form = -0.170 eV/atom
calculated density = 6.27 g/cm3

Unit cell a=12.2086 b=3.2836 c=6.5731 alpha=90.00 beta=116.82 gamma=90.00
Space group C2/m (No. 12)
Asymmetric unit:
Ho  0.0127  0.0000  0.2322 x4
Sc  0.2332  0.5000  0.7908 x4
C  0.1337  0.5000  0.0175 x4



> Which of these has the lowest E_form?

HoScC



> Which of these has the highest E_form?

Ho3ScC



> The highest E_form belongs to which entry?

Ho3ScC



> calculated density of number 1 (Ho3ScC)?

7.47 g/cm3